Below is a relaxed structure of Ti2NbTe6, with properties calculated at the PBE level.

a = 6.847 Å, b = 7.072 Å, c = 9.621 Å
α = 90.00°, β = 86.48°, γ = 90.00°
Positions (direct):
Ti 0.952 0.341 0.748
Ti 0.548 0.841 0.752
Ti 0.452 0.159 0.248
Ti 0.048 0.659 0.252
Nb 0.500 0.500 0.000
Nb 0.000 0.000 0.500
Te 0.828 0.981 0.246
Te 0.831 0.652 0.579
Te 0.851 0.677 0.918
Te 0.649 0.177 0.582
Te 0.669 0.152 0.921
Te 0.672 0.481 0.254
Te 0.172 0.019 0.754
Te 0.169 0.348 0.421
Te 0.149 0.323 0.082
Te 0.351 0.823 0.418
Te 0.331 0.848 0.079
Te 0.328 0.519 0.746

Output
space group = P2_1/c (14)
uncorrected formation energy = -3.6 eV/f.u.
DOS at the Fermi energy = 0.725 states/eV/atom
crystal system = monoclinic
VASP energy = -48.28 eV/f.u.

Below is a relaxed structure of TiNb3Te6, with properties calculated at the PBE level.

a = 6.728 Å, b = 8.876 Å, c = 8.876 Å
α = 104.68°, β = 90.00°, γ = 90.00°
Positions (direct):
Ti 0.098 0.157 0.843
Ti 0.598 0.843 0.157
Nb 0.456 0.985 0.737
Nb 0.956 0.737 0.985
Nb 0.349 0.416 0.584
Nb 0.849 0.584 0.416
Nb 0.956 0.015 0.263
Nb 0.456 0.263 0.015
Te 0.140 0.710 0.655
Te 0.640 0.655 0.710
Te 0.203 0.458 0.894
Te 0.703 0.894 0.458
Te 0.282 0.973 0.027
Te 0.660 0.262 0.738
Te 0.160 0.738 0.262
Te 0.782 0.027 0.973
Te 0.203 0.106 0.542
Te 0.703 0.542 0.106
Te 0.140 0.345 0.290
Te 0.640 0.290 0.345

Output
space group = Cmc2_1 (36)
uncorrected formation energy = -2.6 eV/f.u.
DOS at the Fermi energy = 0.474 states/eV/atom
crystal system = orthorhombic
VASP energy = -59.56 eV/f.u.

Below is a relaxed structure of Ti3NbTe6, with properties calculated at the PBE level.

a = 8.189 Å, b = 8.189 Å, c = 8.189 Å
α = 87.38°, β = 87.38°, γ = 87.38°
Positions (direct):
Ti 0.385 0.917 0.778
Ti 0.917 0.778 0.385
Ti 0.222 0.615 0.083
Ti 0.778 0.385 0.917
Ti 0.083 0.222 0.615
Ti 0.615 0.083 0.222
Nb 0.000 0.000 0.000
Nb 0.500 0.500 0.500
Te 0.323 0.928 0.114
Te 0.072 0.886 0.677
Te 0.595 0.826 0.465
Te 0.886 0.677 0.072
Te 0.465 0.595 0.826
Te 0.174 0.535 0.405
Te 0.826 0.465 0.595
Te 0.535 0.405 0.174
Te 0.114 0.323 0.928
Te 0.405 0.174 0.535
Te 0.928 0.114 0.323
Te 0.677 0.072 0.886

Output
space group = R-3 (148)
uncorrected formation energy = -3.9 eV/f.u.
DOS at the Fermi energy = 0.846 states/eV/atom
crystal system = trigonal
VASP energy = -56.54 eV/f.u.

Below is a relaxed structure of Ti2NbTe6, with properties calculated at the PBE level.

a = 3.718 Å, b = 8.414 Å, c = 9.249 Å
α = 112.15°, β = 101.59°, γ = 90.00°
Positions (direct):
Ti 0.834 0.669 0.668
Ti 0.166 0.331 0.332
Nb 0.500 0.000 0.000
Te 0.334 0.914 0.667
Te 0.002 0.254 0.005
Te 0.669 0.579 0.338
Te 0.998 0.746 0.995
Te 0.666 0.086 0.333
Te 0.331 0.421 0.662

Output
space group = C2/m (12)
uncorrected formation energy = -5.4 eV/f.u.
DOS at the Fermi energy = 0.571 states/eV/atom
crystal system = monoclinic
VASP energy = -50.10 eV/f.u.